# PBE Ho3Si5Ir6, optimized geometry
data_Ho3Si5Ir6
_symmetry_space_group_name_H-M 'P m m n'
_symmetry_Int_Tables_number 59
_cell_length_a 4.0139
_cell_length_b 12.3609
_cell_length_c 9.5936
_cell_angle_alpha 90.00
_cell_angle_beta 90.00
_cell_angle_gamma 90.00
loop_
_symmetry_equiv_pos_as_xyz
'x,y,z'
'-x,-y,-z'
'-x+1/2,-y+1/2,z'
'x+1/2,y+1/2,-z'
'x+1/2,-y,-z'
'-x+1/2,y,z'
'-x,y+1/2,-z'
'x,-y+1/2,z'
loop_
_atom_site_label
_atom_site_type_symbol
_atom_site_fract_x
_atom_site_fract_y
_atom_site_fract_z
Ho1 Ho 0.2500 0.0893 0.2481
Ho2 Ho 0.2500 0.7500 0.2433
Si1 Si 0.2500 0.0772 0.6500
Si2 Si 0.2500 0.6316 0.9814
Si3 Si 0.2500 0.7500 0.6176
Ir1 Ir 0.2500 0.0485 0.8976
Ir2 Ir 0.2500 0.2500 0.0107
Ir3 Ir 0.2500 0.2500 0.5198
Ir4 Ir 0.2500 0.5817 0.4907
# * energy relative to the elements, uncorrected: -97.60 kJ per mole of atoms

# PBE HoSiIr, optimized geometry
data_HoSiIr
_symmetry_space_group_name_H-M 'C m c m'
_symmetry_Int_Tables_number 63
_symmetry_space_group_name_Hall '-C 2c 2'
_cell_length_a 3.6503
_cell_length_b 10.5219
_cell_length_c 5.6456
_cell_angle_alpha 90.00
_cell_angle_beta 90.00
_cell_angle_gamma 90.00
loop_
_atom_site_label
_atom_site_type_symbol
_atom_site_fract_x
_atom_site_fract_y
_atom_site_fract_z
Ho1 Ho 0.0000 0.1906 0.2500
Si1 Si 0.0000 0.0949 0.7500
Ir1 Ir 0.0000 0.5000 0.0000
# * energy relative to the elements, uncorrected: -96.64 kJ per mole of atoms

# PBE Ho2Si3Ir2, optimized geometry
data_Ho2Si3Ir2
_symmetry_space_group_name_H-M 'C m c m'
_symmetry_Int_Tables_number 63
_symmetry_space_group_name_Hall '-C 2c 2'
_cell_length_a 4.0764
_cell_length_b 17.3518
_cell_length_c 6.9585
_cell_angle_alpha 90.00
_cell_angle_beta 90.00
_cell_angle_gamma 90.00
loop_
_atom_site_label
_atom_site_type_symbol
_atom_site_fract_x
_atom_site_fract_y
_atom_site_fract_z
Ho1 Ho 0.0000 0.0578 0.2500
Ho2 Ho 0.0000 0.1545 0.7500
Si1 Si 0.0000 0.2266 0.2500
Si2 Si 0.0000 0.4387 0.0715
Ir1 Ir 0.0000 0.3092 0.5494
# * energy relative to the elements, uncorrected: -88.53 kJ per mole of atoms
# * energy above the most stable polymorph in this dataset: 0.00 eV/f.u.

# PBE HoSiIr, optimized geometry
data_HoSiIr
_symmetry_space_group_name_H-M 'P -6 m 2'
_symmetry_Int_Tables_number 187
_symmetry_space_group_name_Hall 'P -6 2'
_cell_length_a 4.1760
_cell_length_b 4.1760
_cell_length_c 3.8137
_cell_angle_alpha 90.00
_cell_angle_beta 90.00
_cell_angle_gamma 120.00
loop_
_atom_site_label
_atom_site_type_symbol
_atom_site_fract_x
_atom_site_fract_y
_atom_site_fract_z
Ho1 Ho 0.0000 0.0000 0.0000
Si1 Si 0.3333 0.6667 0.5000
Ir1 Ir 0.6667 0.3333 0.5000
# * energy relative to the elements, uncorrected: -90.46 kJ per mole of atoms

# PBE Ho3Si4Ir, optimized geometry
data_Ho3Si4Ir
_symmetry_space_group_name_H-M 'I m m m'
_symmetry_Int_Tables_number 71
_symmetry_space_group_name_Hall '-I 2 2'
_cell_length_a 4.2695
_cell_length_b 5.5931
_cell_length_c 14.3796
_cell_angle_alpha 90.00
_cell_angle_beta 90.00
_cell_angle_gamma 90.00
loop_
_atom_site_label
_atom_site_type_symbol
_atom_site_fract_x
_atom_site_fract_y
_atom_site_fract_z
Ho1 Ho 0.0000 0.0000 0.0000
Ho2 Ho 0.0000 0.5000 0.1928
Si1 Si 0.0000 0.2920 0.3787
Ir1 Ir 0.0000 0.0000 0.5000
# * energy relative to the elements, uncorrected: -62.52 kJ per mole of atoms

# PBE Ho2Si4Ir5, optimized geometry
data_Ho2Si4Ir5
_symmetry_space_group_name_H-M 'F m m m'
_symmetry_Int_Tables_number 69
_symmetry_space_group_name_Hall '-F 2 2'
_cell_length_a 5.5864
_cell_length_b 9.5035
_cell_length_c 14.1879
_cell_angle_alpha 90.00
_cell_angle_beta 90.00
_cell_angle_gamma 90.00
loop_
_atom_site_label
_atom_site_type_symbol
_atom_site_fract_x
_atom_site_fract_y
_atom_site_fract_z
Ho1 Ho 0.0000 0.0000 0.1248
Si1 Si 0.0000 0.1541 0.3681
Ir1 Ir 0.0000 0.0000 0.5000
Ir2 Ir 0.2500 0.2500 0.0000
Ir3 Ir 0.2500 0.2500 0.2500
# * energy relative to the elements, uncorrected: -85.63 kJ per mole of atoms

# PBE HoSi2Ir4, optimized geometry
data_HoSi2Ir4
_symmetry_space_group_name_H-M 'C m m m'
_symmetry_Int_Tables_number 65
_symmetry_space_group_name_Hall '-C 2 2'
_cell_length_a 4.0759
_cell_length_b 13.6824
_cell_length_c 4.0150
_cell_angle_alpha 90.00
_cell_angle_beta 90.00
_cell_angle_gamma 90.00
loop_
_atom_site_label
_atom_site_type_symbol
_atom_site_fract_x
_atom_site_fract_y
_atom_site_fract_z
Ho1 Ho 0.0000 0.0000 0.0000
Si1 Si 0.0000 0.4124 0.5000
Ir1 Ir 0.0000 0.1745 0.5000
Ir2 Ir 0.0000 0.3196 0.0000
# * energy relative to the elements, uncorrected: -67.77 kJ per mole of atoms
# * energy above the most stable polymorph in this dataset: 0.24 eV/f.u.

# PBE Ho3Si4Ir7, optimized geometry
data_Ho3Si4Ir7
_symmetry_space_group_name_H-M 'C 1 2/m 1'
_symmetry_Int_Tables_number 12
_cell_length_a 15.0450
_cell_length_b 4.0172
_cell_length_c 9.2041
_cell_angle_alpha 90.00
_cell_angle_beta 124.45
_cell_angle_gamma 90.00
loop_
_symmetry_equiv_pos_as_xyz
'x,y,z'
'-x,-y,-z'
'-x,y,-z'
'x,-y,z'
'x+1/2,y+1/2,z'
'-x+1/2,-y+1/2,-z'
'-x+1/2,y+1/2,-z'
'x+1/2,-y+1/2,z'
loop_
_atom_site_label
_atom_site_type_symbol
_atom_site_fract_x
_atom_site_fract_y
_atom_site_fract_z
Ho1 Ho 0.0000 0.0000 0.0000
Ho2 Ho 0.1730 0.5000 0.6700
Si1 Si 0.1135 0.0000 0.8337
Si2 Si 0.1676 0.5000 0.2794
Ir1 Ir 0.0000 0.0000 0.5000
Ir2 Ir 0.0051 0.5000 0.2750
Ir3 Ir 0.1626 0.0000 0.4220
Ir4 Ir 0.1942 0.5000 0.0453
# * energy relative to the elements, uncorrected: -93.96 kJ per mole of atoms